# BeZnPb2F, relaxed, DFT PBE-GGA
data_BeZnPb2F
_chemical_formula_sum 'Be1 Zn1 Pb2 F1'
_cell_length_a 5.935
_cell_length_b 5.935
_cell_length_c 3.155
_cell_angle_alpha 90.00
_cell_angle_beta 90.00
_cell_angle_gamma 90.00
_space_group_name_H-M_alt 'P 4/m m m'
_space_group_IT_number 123
_space_group_name_Hall '-P 4 2'
loop_
_atom_site_label
_atom_site_fract_x
_atom_site_fract_y
_atom_site_fract_z
_atom_site_occupancy
Be1 0.000 0.000 0.000 1
Zn1 0.500 0.500 0.000 1
Pb1 0.000 0.500 0.500 1
F1 0.000 0.000 0.500 1
# - DOS at the Fermi energy: 2.129 states/eV/f.u.
# - Crystal system: tetragonal
# - Formation energy without anion corrections: -261 meV/atom
# - Theoretical density: 7.59 Mg/m³